DFT (meta-GGA SCAN) results for Li5Cr2Cu5O12 at its PBEsol-relaxed geometry.

Cell: 5.3890 8.4070 9.3882 Å, 90.00 93.44 90.00°
Closest atoms and distances in Å follow each position.
Space group C2 (No. 5)
Symmetry-distinct sites (fractional):
Li1 0.0000 0.0000 0.0000  4 O 1.96-2.11
Li2 0.2456 0.5058 0.2443  6 O 2.05-2.18
Li3 0.2498 0.1757 0.2477  6 O 1.99-2.16
Cr1 0.0000 0.3269 0.0000  6 O 1.79-1.97
Cr2 0.0000 0.8424 0.5000  6 O 1.90-1.91
Cu1 0.0000 0.1727 0.5000  4 O 1.97-1.98
Cu2 0.0000 0.5129 0.5000  4 O 1.96-1.97
Cu3 0.0000 0.6724 0.0000  4 O 1.93
Cu4 0.2441 0.8448 0.2469  4 O 1.91-1.98
O1 0.0986 0.0013 0.3698  1 Cr 1.91, 2 Cu 1.95-1.98, 1 Li 2.06
O2 0.1009 0.6839 0.3716  1 Cr 1.90, 2 Cu 1.97-1.98, 1 Li 2.10
O3 0.1054 0.1903 0.8699  1 Cr 1.79, 1 Cu 1.91
O4 0.1065 0.5028 0.8797  2 Cu 1.93-1.98, 1 Cr 1.97, 1 Li 2.06
O5 0.1774 0.3433 0.4053  1 Cr 1.90, 2 Cu 1.96-1.97, 2 Li 2.09-2.10
O6 0.1814 0.8341 0.9027  1 Cr 1.90, 1 Cu 1.93, 3 Li 1.96-2.05

Computed properties:
Crystal system: monoclinic
DFT total energy: -474.04 eV/cell
Formation energy from raw total energies: -1.56 eV/atom
Theoretical density: 5.1 g/cm3

=====

DFT (meta-GGA SCAN) results for Li2CrCuO4 at its PBEsol-relaxed geometry.

Cell: 3.9106 3.9106 8.7308 Å, 90.00 90.00 90.00°
Closest atoms and distances in Å follow each position.
Space group I-4m2 (No. 119)
Symmetry-distinct sites (fractional):
Li1 0.0000 0.0000 0.0000  4 O 1.96
Li2 0.0000 0.5000 0.2500  4 O 1.97
Cr1 0.0000 0.0000 0.5000  6 O 1.93-1.96
Cu1 0.0000 0.5000 0.7500  6 O 1.97-2.13
O1 0.0000 0.0000 0.2785  1 Cr 1.93, 2 Li 1.97, 2 Cu 1.97
O2 0.0000 0.5000 0.5056  2 Li 1.96, 2 Cr 1.96, 1 Cu 2.13

Computed properties:
Crystal system: tetragonal
Energy relative to the lowest polymorph listed for this composition: 18 meV per atom
DFT total energy: -156.56 eV/cell
Formation energy from raw total energies: -1.87 eV/atom
Theoretical density: 4.8 g/cm3

=====

DFT (meta-GGA SCAN) results for Li4CrCu3O8 at its PBEsol-relaxed geometry.

Cell: 5.8107 5.8107 14.0518 Å, 90.00 90.00 120.00°
Closest atoms and distances in Å follow each position.
Space group R-3m (No. 166, hexagonal axes)
Symmetry-distinct sites (fractional):
Li1 0.0000 0.0000 0.0000  6 O 2.19
Li2 0.0000 0.5000 0.0000  6 O 2.06-2.12
Cr1 0.0000 0.0000 0.5000  6 O 1.90
Cu1 0.0000 0.5000 0.5000  6 O 1.98-2.04
O1 0.0000 0.0000 0.2416  3 Cu 1.98, 3 Li 2.12
O2 0.0205 0.5103 0.2430  1 Cr 1.90, 2 Cu 2.04, 2 Li 2.06

Computed properties:
Crystal system: trigonal
DFT total energy: -447.61 eV/cell
Formation energy from raw total energies: -1.61 eV/atom
Theoretical density: 4.8 g/cm3

=====

DFT (meta-GGA SCAN) results for Li2CrCuO4 at its PBEsol-relaxed geometry.

Cell: 5.1866 2.7992 5.5099 Å, 90.00 117.70 90.00°
Closest atoms and distances in Å follow each position.
Space group P2/m (No. 10)
Symmetry-distinct sites (fractional):
Li1 0.0000 0.0000 0.0000  4 O 2.04
Li2 0.5000 0.5000 0.5000  6 O 2.08
Cr1 0.0000 0.0000 0.5000  6 O 1.91-1.92
Cu1 0.5000 0.5000 0.0000  4 O 1.93
O1 0.0475 0.5000 0.2873  2 Cr 1.91, 3 Li 2.04-2.08
O2 0.4130 0.0000 0.7318  1 Cr 1.92, 2 Cu 1.93, 2 Li 2.08

Computed properties:
Crystal system: monoclinic
Energy relative to the lowest polymorph listed for this composition: 0 meV per atom
DFT total energy: -78.42 eV/cell
Formation energy from raw total energies: -1.89 eV/atom
Theoretical density: 4.5 g/cm3

=====

DFT (meta-GGA SCAN) results for Li2CrCuO4 at its PBEsol-relaxed geometry.

Cell: 5.5702 5.6236 8.9933 Å, 90.00 90.00 90.00°
Closest atoms and distances in Å follow each position.
Space group Imma (No. 74)
Symmetry-distinct sites (fractional):
Li1 0.0000 0.0000 0.0000  4 O 2.05
Li2 0.2500 0.2500 0.2500  6 O 2.07-2.12
Cr1 0.0000 0.0000 0.5000  6 O 1.92-1.93
Cu1 0.2500 0.2500 0.7500  4 O 1.94
O1 0.0000 0.0158 0.7145  1 Cr 1.93, 2 Cu 1.94, 2 Li 2.07
O2 0.2329 0.2500 0.4860  2 Cr 1.92, 3 Li 2.05-2.12

Computed properties:
Crystal system: orthorhombic
Energy relative to the lowest polymorph listed for this composition: 0 meV per atom
DFT total energy: -313.69 eV/cell
Formation energy from raw total energies: -1.89 eV/atom
Theoretical density: 4.6 g/cm3

=====

DFT (meta-GGA SCAN) results for Li4Cr2Cu3Sb3O16 at its PBEsol-relaxed geometry.

Cell: 10.6181 5.9323 9.5461 Å, 90.00 94.27 90.00°
Closest atoms and distances in Å follow each position.
Space group Cm (No. 8)
Symmetry-distinct sites (fractional):
Li1 0.0000 0.0000 0.0000  3 O 1.88-2.00
Li2 0.0759 0.0000 0.5470  2 O 1.80-1.95
Li3 0.2404 0.5000 0.9375  4 O 1.95-2.01
Li4 0.4053 0.0000 0.4503  4 O 1.96-2.16
Cr1 0.2595 0.5000 0.5410  1 O 1.72
Cr2 0.4381 0.0000 0.0148  1 O 1.70
Cu1 0.0052 0.2547 0.7427  3 O 1.90-2.12
Cu2 0.4066 0.5000 0.2594  4 O 1.97-2.20
Sb1 0.1609 0.2509 0.2582  6 O 1.97-2.06
Sb2 0.2592 0.0000 0.7637  6 O 2.00-2.05
O1 0.0013 0.2568 0.1363  1 Cr 1.94, 1 Sb 1.98, 1 Li 2.00
O2 0.0567 0.5000 0.9040  1 Cr 1.70
O3 0.0763 0.0000 0.3588  1 Li 1.80, 1 Cu 1.97
O4 0.0873 0.0000 0.8363  1 Li 1.88, 2 Cu 1.93, 1 Sb 2.00
O5 0.0953 0.5000 0.3837  2 Sb 2.06, 1 Li 2.16, 1 Cr 2.21
O6 0.1840 0.2543 0.6378  1 Cr 1.93, 1 Li 2.05, 1 Sb 2.05
O7 0.2371 0.0000 0.1545  2 Sb 1.99
O8 0.2382 0.5000 0.1478  1 Li 2.01, 1 Cu 2.01, 2 Sb 2.02
O9 0.3073 0.2727 0.3968  1 Sb 1.97, 1 Li 1.97, 1 Cr 2.02, 1 Cu 2.20
O10 0.3375 0.2168 0.9091  1 Cr 1.91, 1 Li 2.00, 1 Sb 2.02
O11 0.4096 0.5000 0.6214  1 Cr 1.72
O12 0.4143 0.0000 0.6564  2 Cu 1.90, 1 Li 1.96, 1 Sb 2.00

Computed properties:
Crystal system: monoclinic
DFT total energy: -700.00 eV/cell
Formation energy from raw total energies: -1.66 eV/atom
Theoretical density: 5.2 g/cm3